A plane-wave DFT calculation with PBE was carried out for an optimized crystal structure of Rb3BSe3.

distance to the lowest polymorph of the same formula = 98 meV/atom
crystal system = orthorhombic
total energy = -3.661 eV per atom
formation energy (no corrections) = -0.80 eV per atom
total moment = 0.00 Bohr magnetons per cell

Cell: 9.7902 9.7902 6.8371 Å, 90.00 90.00 119.81°
Atoms (fractional coordinates):
Rb1 0.1901 0.8099 0.7500
Rb2 0.1913 0.3817 0.7500
Rb3 0.3817 0.1913 0.2500
Rb4 0.6183 0.8087 0.7500
Rb5 0.8087 0.6183 0.2500
Rb6 0.8099 0.1901 0.2500
B1 0.3329 0.6671 0.2500
B2 0.6671 0.3329 0.7500
Se1 0.2157 0.7843 0.2500
Se2 0.2168 0.4332 0.2500
Se3 0.4332 0.2168 0.7500
Se4 0.5668 0.7832 0.2500
Se5 0.7832 0.5668 0.7500
Se6 0.7843 0.2157 0.7500